1.
# NaTl2HAu

A relaxed NaTl2HAu crystal (GGA-PBE, Alexandria via LeMat-Bulk).

Properties
Energy   -2.506 eV per atom
M_tot   0.000 μB/f.u.
Density of states at the Fermi level   1.4 states/eV/cell

Geometry as POSCAR:
```
NaTl2HAu
1.0
4.9585 0.0000 0.0000
0.0000 4.9585 0.0000
0.0000 0.0000 4.3280
Na Tl Au H
1 2 1 1
Cartesian
0.0000 0.0000 2.1640
0.0000 2.4793 0.0000
2.4793 0.0000 0.0000
2.4793 2.4793 2.1640
0.0000 0.0000 0.0000
```



2.
# TiCr

A relaxed TiCr crystal (GGA-PBE, Alexandria via LeMat-Bulk).

Properties
Energy   -8.631 eV per atom
Formation enthalpy at 0 K   0.13 eV per atom
M_tot   0.000 μB/f.u.
Density of states at the Fermi level   3.1 states/eV/cell

Geometry as POSCAR:
```
TiCr
1.0
2.7025 0.0020 0.0000
-0.9823 2.5177 0.0000
0.0000 0.0000 4.0785
Cr Ti
1 1
Cartesian
0.0000 0.0000 0.0000
0.8601 1.2599 2.0393
```



3.
# Ca3ScPd

A relaxed Ca3ScPd crystal (GGA-PBE, Alexandria via LeMat-Bulk).

Properties
Energy above the most stable polymorph in this dataset   4.929 eV/f.u.
Energy   -2.552 eV per atom
Formation enthalpy at 0 K   0.95 eV per atom
M_tot   4.097 μB/f.u.
Density of states at the Fermi level   3.9 states/eV/cell

Geometry as POSCAR:
```
Ca3ScPd
1.0
-0.6121 5.6280 0.9626
-5.5195 -0.8311 1.3491
1.4615 -0.7814 5.4981
Sc Ca Pd
1 3 1
Cartesian
0.0000 0.0000 0.0000
-2.7597 -0.4155 0.6745
0.7307 -0.3907 2.7490
-0.3061 2.8140 0.4813
-2.3351 2.0077 3.9049
```



4.
# ErCrRe

A relaxed ErCrRe crystal (GGA-PBE, Alexandria via LeMat-Bulk).

Properties
Energy   -8.544 eV per atom
Formation enthalpy at 0 K   0.33 eV per atom
M_tot   0.466 μB/f.u.
Density of states at the Fermi level   5.9 states/eV/cell

Geometry as POSCAR:
```
ErCrRe
1.0
-0.6993 -2.4305 -4.2668
2.5649 -2.3648 3.5257
-4.8985 0.5957 2.0469
Er Re Cr
2 2 2
Cartesian
0.3864 -2.4086 -1.6749
1.4792 -2.3866 0.9339
-1.7516 -3.6174 0.7643
-1.2813 -0.5821 0.5416
-2.3325 -2.1162 -1.2952
-0.7004 -2.0833 2.6011
```



5.
# Tb8Tl2Pd

A relaxed Tb8Tl2Pd crystal (GGA-PBE, Alexandria via LeMat-Bulk).

Properties
Energy   -4.530 eV per atom
Formation enthalpy at 0 K   -0.26 eV per atom
M_tot   0.000 μB/f.u.
Density of states at the Fermi level   10.9 states/eV/cell

Geometry as POSCAR:
```
Tb8Tl2Pd
1.0
5.0924 0.0000 0.0000
0.0000 6.7789 0.4104
-2.5462 -2.3277 9.1148
Tb Tl Pd
8 2 1
Cartesian
0.0000 1.7090 7.6886
2.5462 6.0192 3.1008
2.5462 3.2623 5.6168
2.5462 -0.6962 8.9086
0.0000 1.1889 3.9084
0.0000 -1.5680 6.4244
2.5462 2.7421 1.8366
0.0000 5.1474 0.6167
2.5462 0.1575 5.8069
0.0000 4.2937 3.7183
2.5462 0.0000 0.0000
```



6.
# Dy3ScN4

A relaxed Dy3ScN4 crystal (GGA-PBE, Alexandria via LeMat-Bulk).

Properties
Energy   -8.396 eV per atom
M_tot   0.000 μB/f.u.
Density of states at the Fermi level   0.7 states/eV/cell
Formation energy (no corrections)   -165.6 kJ/mol of atoms

Geometry as POSCAR:
```
Dy3ScN4
1.0
-0.6610 3.6386 -4.6016
3.0960 -4.7409 -1.6699
-5.7941 -3.1888 -1.6892
Sc N Dy
2 8 6
Cartesian
-5.5954 -0.0777 -4.9379
-0.8597 0.5275 -1.3529
-3.5341 0.4413 -6.0560
-4.7047 -2.1246 -4.1928
-1.7107 -0.5564 -3.3200
0.0578 -1.5047 -0.5999
-3.4169 -2.7864 -7.3608
-1.6484 -3.7347 -4.6407
1.3456 -2.1665 -3.7679
0.1750 -4.7324 -1.9047
-2.6564 1.5398 -4.0811
-3.7987 -1.0900 -2.2097
-2.5821 -1.6417 -5.3457
0.3416 -0.0327 -4.4934
-0.7770 -2.6494 -2.6150
-3.7007 -4.2585 -3.4673
```



7.
# La3GeOs

A relaxed La3GeOs crystal (GGA-PBE, Alexandria via LeMat-Bulk).

Properties
Energy above the most stable polymorph in this dataset   1.276 eV/f.u.
Energy   -6.293 eV per atom
Formation enthalpy at 0 K   -0.17 eV per atom
M_tot   0.004 μB/f.u.
Density of states at the Fermi level   3.9 states/eV/cell

Geometry as POSCAR:
```
La3GeOs
1.0
-4.3744 3.2532 0.6494
-3.0207 -3.4620 -3.0051
-1.3712 -2.7517 4.5484
Ge Os La
1 1 3
Cartesian
-4.3832 -1.4803 1.0964
0.0000 0.0000 0.0000
-1.5103 -1.7310 -1.5025
-0.6856 -1.3759 2.2742
-2.1872 1.6266 0.3247
```



8.
# Co2GeS

A relaxed Co2GeS crystal (GGA-PBE, Alexandria via LeMat-Bulk).

Properties
Energy above the most stable polymorph in this dataset   0.591 eV/f.u.
Energy   -5.567 eV per atom
M_tot   1.963 μB/f.u.
Density of states at the Fermi level   3.6 states/eV/cell
Formation energy (no corrections)   16.6 kJ/mol of atoms

Geometry as POSCAR:
```
Co2GeS
1.0
0.0000 2.9302 2.9302
2.9302 0.0000 2.9302
2.9302 2.9302 0.0000
Ge Co S
1 2 1
Cartesian
2.9302 2.9302 2.9302
1.4651 1.4651 1.4651
4.3952 4.3952 4.3952
0.0000 0.0000 0.0000
```



9.
# BeZn3Se4

A relaxed BeZn3Se4 crystal (GGA-PBE, Alexandria via LeMat-Bulk).

Properties
Energy   -3.410 eV per atom
M_tot   0.000 μB/f.u.
Density of states at the Fermi level   0.0 states/eV/cell
Formation energy (no corrections)   -69.9 kJ/mol of atoms

Geometry as POSCAR:
```
BeZn3Se4
1.0
0.0500 1.9543 -5.2472
0.5529 -5.2235 -1.9402
-5.8517 1.1358 3.3550
Be Zn Se
1 3 4
Cartesian
0.0000 0.0000 0.0000
0.3015 -1.6346 -3.5937
-2.7501 0.7277 -2.7430
-2.4987 -2.8612 -1.0894
-1.1688 -0.8786 -1.7292
-0.8465 -2.6260 -5.5708
-4.1067 -2.2994 0.7014
-4.3755 1.5371 -1.0662
```



10.
# Al3Cd5

A relaxed Al3Cd5 crystal (GGA-PBE, Alexandria via LeMat-Bulk).

Properties
Energy above the most stable polymorph in this dataset   0.000 eV/f.u.
Energy   -1.813 eV per atom
Formation enthalpy at 0 K   0.16 eV per atom
M_tot   0.000 μB/f.u.
Density of states at the Fermi level   4.5 states/eV/cell

Geometry as POSCAR:
```
Al3Cd5
1.0
9.1637 0.1830 -0.2072
-7.3983 5.3873 -0.1965
-1.0791 -3.3848 7.1036
Al Cd
6 10
Cartesian
0.1919 0.7957 6.7833
0.4867 1.3916 -0.0935
0.5337 -0.4876 3.4568
0.1448 2.6703 3.2512
-4.1940 1.1424 5.9136
4.8718 1.0387 0.7903
-3.7188 2.4058 3.2384
4.3964 -0.2232 3.4618
5.7210 -2.4390 5.7070
-5.0472 4.6280 0.9951
2.5296 2.3982 1.7358
-1.8554 -0.2098 4.9603
2.1737 -1.3584 5.6878
-1.4887 3.5442 1.0150
-1.5626 0.6131 1.8965
2.2472 1.5729 4.8008
```



11.
# PmHoTcNi

A relaxed PmHoTcNi crystal (GGA-PBE, Alexandria via LeMat-Bulk).

Properties
Energy   -6.411 eV per atom
Formation enthalpy at 0 K   -0.04 eV per atom
M_tot   0.000 μB/f.u.
Density of states at the Fermi level   3.4 states/eV/cell

Geometry as POSCAR:
```
PmHoTcNi
1.0
-3.0165 -3.7826 -0.4240
1.7874 -4.4774 -0.5878
-0.3466 -3.2447 3.5971
Tc Ni Ho Pm
1 1 1 1
Cartesian
-0.7879 -5.7523 1.2926
0.0000 0.0000 0.0000
-0.3939 -2.8762 0.6463
-1.1818 -8.6285 1.9389
```



12.
# Tb4Au

A relaxed Tb4Au crystal (GGA-PBE, Alexandria via LeMat-Bulk).

Properties
Energy   -4.377 eV per atom
Formation enthalpy at 0 K   -0.02 eV per atom
M_tot   0.000 μB/f.u.
Density of states at the Fermi level   8.8 states/eV/cell

Geometry as POSCAR:
```
Tb4Au
1.0
-0.4762 3.9168 3.9452
-5.2682 -1.5824 0.9351
1.7753 -3.6452 3.8332
Tb Au
4 1
Cartesian
0.0000 0.0000 0.0000
0.6496 0.1358 3.8892
-1.7464 -2.6138 2.3842
-2.8722 1.1672 2.4402
-1.9845 -0.6554 4.3568
```